# TlIn2Sb PBE relaxed
# Magnetic moment = 0.0 μB/f.u.
# Crystal system = orthorhombic
# Raw formation energy = 0.18 eV/f.u.
# Fermi-level density of states = 2.051 states/eV/f.u.
# Total DFT energy (no corrections) = -2.948 eV per atom
data_TlIn2Sb
_symmetry_space_group_name_H-M 'P 1'
_symmetry_Int_Tables_number 1
_cell_length_a 3.3320
_cell_length_b 3.3320
_cell_length_c 10.4743
_cell_angle_alpha 90.00
_cell_angle_beta 90.00
_cell_angle_gamma 101.90
loop_
_symmetry_equiv_pos_as_xyz
'x,y,z'
loop_
_atom_site_label
_atom_site_type_symbol
_atom_site_fract_x
_atom_site_fract_y
_atom_site_fract_z
In1 In 0.0000 0.0000 0.0095
In2 In 0.5000 0.5000 0.2525
Sb1 Sb 0.0000 0.0000 0.4897
Tl1 Tl 0.5000 0.5000 0.7482

# CaPrSb2 PBE relaxed
# Magnetic moment = 0.0 μB/f.u.
# Crystal system = trigonal
# Raw formation energy = -3.63 eV/f.u.
# Fermi-level density of states = 2.379 states/eV/f.u.
# Total DFT energy (no corrections) = -4.664 eV per atom
data_CaPrSb2
_symmetry_space_group_name_H-M 'P 1'
_symmetry_Int_Tables_number 1
_cell_length_a 4.6892
_cell_length_b 4.6892
_cell_length_c 7.5962
_cell_angle_alpha 72.02
_cell_angle_beta 72.02
_cell_angle_gamma 60.00
loop_
_symmetry_equiv_pos_as_xyz
'x,y,z'
loop_
_atom_site_label
_atom_site_type_symbol
_atom_site_fract_x
_atom_site_fract_y
_atom_site_fract_z
Ca1 Ca 0.4956 0.4956 0.5132
Pr1 Pr 0.6695 0.6695 0.9914
Sb1 Sb 0.0850 0.0850 0.7450
Sb2 Sb 0.2499 0.2499 0.2504

# SrFe2Ni2 PBE relaxed
# Magnetic moment = 6.8 μB/f.u.
# Formation energy = 0.3651 eV/atom
# Crystal system = tetragonal
# Fermi-level density of states = 15.574 states/eV/f.u.
# Total DFT energy (no corrections) = -5.669 eV per atom
data_SrFe2Ni2
_symmetry_space_group_name_H-M 'P 1'
_symmetry_Int_Tables_number 1
_cell_length_a 7.4771
_cell_length_b 7.4771
_cell_length_c 2.7296
_cell_angle_alpha 90.00
_cell_angle_beta 90.00
_cell_angle_gamma 90.00
loop_
_symmetry_equiv_pos_as_xyz
'x,y,z'
loop_
_atom_site_label
_atom_site_type_symbol
_atom_site_fract_x
_atom_site_fract_y
_atom_site_fract_z
Sr1 Sr 0.0000 0.0000 0.0000
Sr2 Sr 0.5000 0.5000 0.0000
Fe1 Fe 0.1510 0.6510 0.5000
Fe2 Fe 0.6510 0.8490 0.5000
Fe3 Fe 0.8490 0.3490 0.5000
Fe4 Fe 0.3490 0.1510 0.5000
Ni1 Ni 0.3690 0.8690 0.0000
Ni2 Ni 0.8690 0.6310 0.0000
Ni3 Ni 0.6310 0.1310 0.0000
Ni4 Ni 0.1310 0.3690 0.0000

# YErMgHg PBE relaxed
# Magnetic moment = 0.0 μB/f.u.
# Formation energy = -0.2925 eV/atom
# Crystal system = tetragonal
# Fermi-level density of states = 4.251 states/eV/f.u.
# Total DFT energy (no corrections) = -3.523 eV per atom
data_YErMgHg
_symmetry_space_group_name_H-M 'P 1'
_symmetry_Int_Tables_number 1
_cell_length_a 3.7712
_cell_length_b 3.7712
_cell_length_c 7.3474
_cell_angle_alpha 90.00
_cell_angle_beta 90.00
_cell_angle_gamma 90.00
loop_
_symmetry_equiv_pos_as_xyz
'x,y,z'
loop_
_atom_site_label
_atom_site_type_symbol
_atom_site_fract_x
_atom_site_fract_y
_atom_site_fract_z
Y1 Y 0.0000 0.0000 0.8607
Er1 Er 0.0000 0.0000 0.3509
Mg1 Mg 0.5000 0.5000 0.6030
Hg1 Hg 0.5000 0.5000 0.1133

# Cs3K2H3F2 PBE relaxed
# Magnetic moment = 0.0 μB/f.u.
# Crystal system = tetragonal
# Fermi-level density of states = 0.000 states/eV/f.u.
# Total DFT energy (no corrections) = -2.996 eV per atom
data_Cs3K2H3F2
_symmetry_space_group_name_H-M 'P 1'
_symmetry_Int_Tables_number 1
_cell_length_a 4.8054
_cell_length_b 4.8054
_cell_length_c 13.5762
_cell_angle_alpha 100.19
_cell_angle_beta 100.19
_cell_angle_gamma 90.00
loop_
_symmetry_equiv_pos_as_xyz
'x,y,z'
loop_
_atom_site_label
_atom_site_type_symbol
_atom_site_fract_x
_atom_site_fract_y
_atom_site_fract_z
Cs1 Cs 0.6219 0.6219 0.2438
Cs2 Cs 0.3781 0.3781 0.7562
Cs3 Cs 0.0000 0.0000 0.0000
K1 K 0.7825 0.7825 0.5651
K2 K 0.2175 0.2175 0.4349
H1 H 0.8848 0.8848 0.7697
H2 H 0.5000 0.5000 0.0000
H3 H 0.1152 0.1152 0.2303
F1 F 0.7500 0.2500 0.5000
F2 F 0.2500 0.7500 0.5000

# AsPbI2N PBE relaxed
# Magnetic moment = 2.1 μB/f.u.
# Crystal system = tetragonal
# Raw formation energy = 6.16 eV/f.u.
# Fermi-level density of states = 12.818 states/eV/f.u.
# Total DFT energy (no corrections) = -2.724 eV per atom
data_AsPbI2N
_symmetry_space_group_name_H-M 'P 1'
_symmetry_Int_Tables_number 1
_cell_length_a 6.4165
_cell_length_b 6.4165
_cell_length_c 4.5731
_cell_angle_alpha 90.00
_cell_angle_beta 90.00
_cell_angle_gamma 90.00
loop_
_symmetry_equiv_pos_as_xyz
'x,y,z'
loop_
_atom_site_label
_atom_site_type_symbol
_atom_site_fract_x
_atom_site_fract_y
_atom_site_fract_z
Pb1 Pb 0.0000 0.0000 0.0000
I1 I 0.0000 0.5000 0.0000
I2 I 0.5000 0.0000 0.0000
As1 As 0.5000 0.5000 0.5000
N1 N 0.0000 0.0000 0.5000

# ReAgAu2 PBE relaxed
# Magnetic moment = 0.0 μB/f.u.
# Formation energy = 0.3393 eV/atom
# Crystal system = tetragonal
# Fermi-level density of states = 2.367 states/eV/f.u.
# Total DFT energy (no corrections) = -5.124 eV per atom
data_ReAgAu2
_symmetry_space_group_name_H-M 'P 1'
_symmetry_Int_Tables_number 1
_cell_length_a 2.7857
_cell_length_b 2.7858
_cell_length_c 8.7239
_cell_angle_alpha 90.00
_cell_angle_beta 90.00
_cell_angle_gamma 90.02
loop_
_symmetry_equiv_pos_as_xyz
'x,y,z'
loop_
_atom_site_label
_atom_site_type_symbol
_atom_site_fract_x
_atom_site_fract_y
_atom_site_fract_z
Re1 Re 0.5000 0.5000 0.2500
Au1 Au 0.0000 0.0000 0.0101
Au2 Au 0.0000 0.0000 0.4899
Ag1 Ag 0.5000 0.5000 0.7500

# Cs2NaGa2Te4 PBE relaxed
# Magnetic moment = 0.0 μB/f.u.
# Crystal system = monoclinic
# Raw formation energy = -6.52 eV/f.u.
# Fermi-level density of states = 0.668 states/eV/f.u.
# Total DFT energy (no corrections) = -3.129 eV per atom
data_Cs2NaGa2Te4
_symmetry_space_group_name_H-M 'P 1'
_symmetry_Int_Tables_number 1
_cell_length_a 4.8327
_cell_length_b 9.2090
_cell_length_c 8.7880
_cell_angle_alpha 108.95
_cell_angle_beta 90.00
_cell_angle_gamma 105.21
loop_
_symmetry_equiv_pos_as_xyz
'x,y,z'
loop_
_atom_site_label
_atom_site_type_symbol
_atom_site_fract_x
_atom_site_fract_y
_atom_site_fract_z
Cs1 Cs 0.8763 0.7527 0.4599
Cs2 Cs 0.1237 0.2473 0.5401
Na1 Na 0.0000 0.0000 0.0000
Ga1 Ga 0.3289 0.6577 0.0164
Ga2 Ga 0.6711 0.3423 0.9836
Te1 Te 0.7929 0.5857 0.8456
Te2 Te 0.2071 0.4143 0.1544
Te3 Te 0.4716 0.9433 0.2304
Te4 Te 0.5284 0.0567 0.7696

Which formula does entry 5 have? Cs3K2H3F2

Among the records above, which one has the lowest total DFT energy (no corrections)? SrFe2Ni2

Look up the total DFT energy (no corrections) of the eighth one. -3.129 eV per atom

Copy entry 5 word for word.
# Cs3K2H3F2 PBE relaxed
# Magnetic moment = 0.0 μB/f.u.
# Crystal system = tetragonal
# Fermi-level density of states = 0.000 states/eV/f.u.
# Total DFT energy (no corrections) = -2.996 eV per atom
data_Cs3K2H3F2
_symmetry_space_group_name_H-M 'P 1'
_symmetry_Int_Tables_number 1
_cell_length_a 4.8054
_cell_length_b 4.8054
_cell_length_c 13.5762
_cell_angle_alpha 100.19
_cell_angle_beta 100.19
_cell_angle_gamma 90.00
loop_
_symmetry_equiv_pos_as_xyz
'x,y,z'
loop_
_atom_site_label
_atom_site_type_symbol
_atom_site_fract_x
_atom_site_fract_y
_atom_site_fract_z
Cs1 Cs 0.6219 0.6219 0.2438
Cs2 Cs 0.3781 0.3781 0.7562
Cs3 Cs 0.0000 0.0000 0.0000
K1 K 0.7825 0.7825 0.5651
K2 K 0.2175 0.2175 0.4349
H1 H 0.8848 0.8848 0.7697
H2 H 0.5000 0.5000 0.0000
H3 H 0.1152 0.1152 0.2303
F1 F 0.7500 0.2500 0.5000
F2 F 0.2500 0.7500 0.5000